Record 1
VASP calculation (PBE) on BiPtN after structural relaxation.

The structure in extended XYZ format:
```
6
Lattice="-1.974 3.304 -2.945 -2.450 0.209 -4.519 -7.168 -0.589 0.935" Properties=species:S:1:pos:R:3 pbc="T T T"
Bi -3.138 1.533 -2.702
Bi -7.008 1.072 -0.625
N -7.831 0.244 -2.629
N -4.200 0.676 -4.576
Pt -6.068 0.476 -3.696
Pt -6.759 2.934 -4.447
```

Output
crystal system: triclinic
energy above the lowest structure with this stoichiometry: 1.571 eV per formula unit
formation energy without anion corrections: 0.570 eV/atom
total DFT energy (no corrections): -0.2026 hartree per atom
density of states at the Fermi level: 0.420 states/eV/atom



Record 2
VASP calculation (PBE) on SrZnOs after structural relaxation.

The structure in extended XYZ format:
```
3
Lattice="-1.055 -0.729 5.723 3.646 -1.253 4.420 -0.929 3.387 -4.697" Properties=species:S:1:pos:R:3 pbc="T T T"
Sr 0.878 -0.672 3.439
Zn 1.591 -1.217 6.230
Os 0.121 -0.093 0.474
```

Output
crystal system: tetragonal
total DFT energy (no corrections): -0.1601 hartree per atom
density of states at the Fermi level: 0.481 states/eV/atom



Record 3
VASP calculation (PBE) on La2TbAl after structural relaxation.

The structure in extended XYZ format:
```
8
Lattice="-2.527 4.017 -2.596 2.422 -2.484 -6.202 -6.234 -2.284 2.534" Properties=species:S:1:pos:R:3 pbc="T T T"
Al -3.298 -2.352 -0.429
Al -1.749 -0.409 -4.566
La -0.219 -1.291 -1.785
La 0.842 -2.448 -4.607
La -1.995 -3.514 -3.495
La -5.982 -0.311 -0.294
Tb -4.837 -1.468 -3.199
Tb -3.062 0.753 -1.491
```

Output
crystal system: orthorhombic
energy above the lowest structure with this stoichiometry: 0.012 eV per formula unit
total DFT energy (no corrections): -0.1742 hartree per atom
density of states at the Fermi level: 1.205 states/eV/atom